1.
Entry from the Alexandria database: a relaxed SrCuHg crystal (PBE-GGA).

Lattice parameters (Å, degrees): 5.186 5.186 5.186 60.00 60.00 60.00
Sites, in units of the cell vectors:
Sr (0.750, 0.750, 0.750)
Hg (0.500, 0.500, 0.500)
Cu (0.000, 0.000, 0.000)

Results
The value obtained for the energy of formation is 155 meV/atom.

2.
Entry from the Alexandria database: a relaxed NaScSe2Br crystal (PBE-GGA).

Lattice parameters (Å, degrees): 5.155 5.155 5.535 90.00 90.00 90.00
Sites, in units of the cell vectors:
Sc (0.000, 0.000, 0.000)
Se (0.000, 0.500, 0.000)
Se (0.500, 0.000, 0.000)
Br (0.000, 0.000, 0.500)
Na (0.500, 0.500, 0.500)

Results
As for the formation energy (no corrections): -545.4 kJ/mol of formula units. For the energy above the most stable polymorph in this dataset, the calculation gives 0 meV per atom.

3.
Entry from the Alexandria database: a relaxed LiHfSnPd crystal (PBE-GGA).

Lattice parameters (Å, degrees): 4.625 4.625 4.625 60.00 60.00 60.00
Sites, in units of the cell vectors:
Pd (0.500, 0.500, 0.500)
Li (0.000, 0.000, 0.000)
Hf (0.750, 0.750, 0.750)
Sn (0.250, 0.250, 0.250)

Results
The value obtained for the energy of formation is -457 meV/atom.

Computed magnetic moment, in the same sequence as the records: 0.0000 0.0000 0.0000 μB/atom.